No. 1
Entry from the Alexandria database: crystalline Sr2AgN at its relaxed geometry (PBE-GGA).

Cell and atoms, written as POSCAR:
```
Sr2AgN
1.0
3.8902 0.0000 0.0000
-1.9451 3.3690 0.0000
0.0000 0.0000 23.5221
Sr Ag N
6 3 3
direct
0.0000 0.0000 0.2248 Sr
0.0000 0.0000 0.7752 Sr
0.3333 0.6667 0.4419 Sr
0.3333 0.6667 0.8915 Sr
0.6667 0.3333 0.1085 Sr
0.6667 0.3333 0.5581 Sr
0.0000 0.0000 0.0000 Ag
0.3333 0.6667 0.6667 Ag
0.6667 0.3333 0.3333 Ag
0.0000 0.0000 0.5000 N
0.3333 0.6667 0.1667 N
0.6667 0.3333 0.8333 N
```

## Properties
SG: R-3m, No. 166
formation energy without anion corrections: -0.4145 eV/atom


No. 2
Entry from the Alexandria database: crystalline Sr6AgN at its relaxed geometry (PBE-GGA).

Cell and atoms, written as POSCAR:
```
Sr6AgN
1.0
7.5192 0.0000 0.0000
0.0000 12.4418 0.0000
-1.9605 0.0000 6.9132
Sr Ag N
12 2 2
direct
0.1899 0.1524 0.2355 Sr
0.1899 0.8476 0.2355 Sr
0.2463 0.0000 0.8003 Sr
0.2537 0.5000 0.1997 Sr
0.3101 0.3476 0.7645 Sr
0.3101 0.6524 0.7645 Sr
0.6899 0.3476 0.2355 Sr
0.6899 0.6524 0.2355 Sr
0.7463 0.5000 0.8003 Sr
0.7537 0.0000 0.1997 Sr
0.8101 0.1524 0.7645 Sr
0.8101 0.8476 0.7645 Sr
0.0000 0.5000 0.5000 Ag
0.5000 0.0000 0.5000 Ag
0.0000 0.0000 0.0000 N
0.5000 0.5000 0.0000 N
```

## Properties
SG: C2/m, No. 12
formation energy without anion corrections: -0.2254 eV/atom


No. 3
Entry from the Alexandria database: crystalline Sr3AgN at its relaxed geometry (PBE-GGA).

Cell and atoms, written as POSCAR:
```
Sr3AgN
1.0
-2.5146 2.6857 11.0069
2.5146 -2.6857 11.0069
2.5146 2.6857 -11.0069
Sr Ag N
6 2 2
direct
0.0817 0.8317 0.2500 Sr
0.3123 0.0623 0.2500 Sr
0.4462 0.6962 0.7500 Sr
0.5538 0.3038 0.2500 Sr
0.6877 0.9377 0.7500 Sr
0.9183 0.1683 0.7500 Sr
0.1971 0.4471 0.7500 Ag
0.8029 0.5529 0.2500 Ag
0.4239 0.1739 0.2500 N
0.5761 0.8261 0.7500 N
```

## Properties
SG: Imma, No. 74
formation energy without anion corrections: -0.3493 eV/atom